## one
{
  "formula": "Mg2Cu2Rh",
  "functional": "GGA-PBE",
  "state": "optimized geometry",
  "cell": [[-1.962, 1.962, 5.314], [1.962, -1.962, 5.314], [1.962, 1.962, -5.314]],
  "species": ["Mg", "Mg", "Cu", "Cu", "Rh"],
  "frac_coords": [[0.250, 0.750, 0.500], [0.750, 0.250, 0.500], [0.102, 0.102, 0.000], [0.898, 0.898, 0.000], [0.500, 0.500, 0.000]],
  "volume_a3_per_cell": 82,
  "total_magnetization_mub_per_fu": 0.00
}

## two
{
  "formula": "Mg2Cu2Rh",
  "functional": "GGA-PBE",
  "state": "optimized geometry",
  "cell": [[6.697, 0.000, 0.000], [0.000, 6.697, 0.000], [0.000, 0.000, 3.425]],
  "species": ["Mg", "Mg", "Mg", "Mg", "Cu", "Cu", "Cu", "Cu", "Rh", "Rh"],
  "frac_coords": [[0.178, 0.322, 0.000], [0.322, 0.822, 0.000], [0.678, 0.178, 0.000], [0.822, 0.678, 0.000], [0.125, 0.625, 0.500], [0.375, 0.125, 0.500], [0.625, 0.875, 0.500], [0.875, 0.375, 0.500], [0.000, 0.000, 0.500], [0.500, 0.500, 0.500]],
  "volume_a3_per_cell": 154,
  "total_magnetization_mub_per_fu": 0.00
}

## three
{
  "formula": "Mg2Cu2Rh",
  "functional": "GGA-PBE",
  "state": "optimized geometry",
  "cell": [[3.712, -2.143, 0.000], [3.712, 2.143, 0.000], [-2.460, 0.000, 4.641]],
  "species": ["Mg", "Mg", "Cu", "Cu", "Rh"],
  "frac_coords": [[0.104, 0.104, 0.310], [0.896, 0.896, 0.690], [0.308, 0.308, 0.924], [0.692, 0.692, 0.076], [0.500, 0.500, 0.500]],
  "volume_a3_per_cell": 74,
  "total_magnetization_mub_per_fu": 0.00
}

Pick three: it beats the second-best structure by 0.103 eV/atom.

## one
{
  "formula": "Mg2Cu2Rh",
  "functional": "GGA-PBE",
  "state": "optimized geometry",
  "cell": [[-1.645, 1.645, 7.452], [1.645, -1.645, 7.452], [1.645, 1.645, -7.452]],
  "species": ["Mg", "Mg", "Cu", "Cu", "Rh"],
  "frac_coords": [[0.098, 0.098, 0.000], [0.902, 0.902, 0.000], [0.250, 0.750, 0.500], [0.750, 0.250, 0.500], [0.500, 0.500, 0.000]],
  "volume_a3_per_cell": 81,
  "total_magnetization_mub_per_fu": 0.00
}

## two
{
  "formula": "Mg2Cu2Rh",
  "functional": "GGA-PBE",
  "state": "optimized geometry",
  "cell": [[7.111, 0.000, 0.000], [0.000, 7.111, 0.000], [0.000, 0.000, 2.986]],
  "species": ["Mg", "Mg", "Mg", "Mg", "Cu", "Cu", "Cu", "Cu", "Rh", "Rh"],
  "frac_coords": [[0.155, 0.345, 0.000], [0.345, 0.845, 0.000], [0.655, 0.155, 0.000], [0.845, 0.655, 0.000], [0.143, 0.643, 0.500], [0.357, 0.143, 0.500], [0.643, 0.857, 0.500], [0.857, 0.357, 0.500], [0.000, 0.000, 0.000], [0.500, 0.500, 0.000]],
  "volume_a3_per_cell": 151,
  "total_magnetization_mub_per_fu": 0.00
}

Pick one: it beats the second-best structure by 0.162 eV/atom.

## one
{
  "formula": "Mg2CuRh2",
  "functional": "GGA-PBE",
  "state": "optimized geometry",
  "cell": [[6.440, 0.000, 0.000], [0.000, 6.440, 0.000], [0.000, 0.000, 3.937]],
  "species": ["Mg", "Mg", "Mg", "Mg", "Cu", "Cu", "Rh", "Rh", "Rh", "Rh"],
  "frac_coords": [[0.167, 0.333, 0.000], [0.333, 0.833, 0.000], [0.667, 0.167, 0.000], [0.833, 0.667, 0.000], [0.000, 0.000, 0.500], [0.500, 0.500, 0.500], [0.139, 0.639, 0.500], [0.361, 0.139, 0.500], [0.639, 0.861, 0.500], [0.861, 0.361, 0.500]],
  "volume_a3_per_cell": 163,
  "total_magnetization_mub_per_fu": 0.63
}

## two
{
  "formula": "Mg2CuRh2",
  "functional": "GGA-PBE",
  "state": "optimized geometry",
  "cell": [[-2.477, 2.477, 3.731], [2.477, -2.477, 3.731], [2.477, 2.477, -3.731]],
  "species": ["Mg", "Mg", "Cu", "Rh", "Rh"],
  "frac_coords": [[0.250, 0.750, 0.500], [0.750, 0.250, 0.500], [0.000, 0.000, 0.000], [0.337, 0.337, 0.000], [0.663, 0.663, 0.000]],
  "volume_a3_per_cell": 92,
  "total_magnetization_mub_per_fu": 0.52
}

Pick one: it beats the second-best structure by 0.457 eV/atom.

## one
{
  "formula": "Mg4CuRh2",
  "functional": "GGA-PBE",
  "state": "optimized geometry",
  "cell": [[6.787, -1.481, 0.000], [6.787, 1.481, 0.000], [-3.137, 0.000, 6.024]],
  "species": ["Mg", "Mg", "Mg", "Mg", "Cu", "Rh", "Rh"],
  "frac_coords": [[0.094, 0.094, 0.231], [0.358, 0.358, 0.125], [0.642, 0.642, 0.875], [0.906, 0.906, 0.769], [0.000, 0.000, 0.500], [0.224, 0.224, 0.654], [0.776, 0.776, 0.346]],
  "volume_a3_per_cell": 121,
  "total_magnetization_mub_per_fu": 0.00
}

## two
{
  "formula": "Mg4CuRh2",
  "functional": "GGA-PBE",
  "state": "optimized geometry",
  "cell": [[2.218, 1.281, 7.060], [-2.218, 1.281, 7.060], [0.000, -2.561, 7.060]],
  "species": ["Mg", "Mg", "Mg", "Mg", "Cu", "Rh", "Rh"],
  "frac_coords": [[0.116, 0.116, 0.116], [0.370, 0.370, 0.370], [0.630, 0.630, 0.630], [0.884, 0.884, 0.884], [0.500, 0.500, 0.500], [0.241, 0.241, 0.241], [0.759, 0.759, 0.759]],
  "volume_a3_per_cell": 120,
  "total_magnetization_mub_per_fu": 0.00
}

Pick two: it beats the second-best structure by 0.166 eV/atom.

## one
{
  "formula": "Mg3CuRh",
  "functional": "GGA-PBE",
  "state": "optimized geometry",
  "cell": [[2.253, -8.194, 0.000], [2.253, 8.194, 0.000], [0.000, 0.000, 4.509]],
  "species": ["Mg", "Mg", "Mg", "Mg", "Mg", "Mg", "Cu", "Cu", "Rh", "Rh"],
  "frac_coords": [[0.064, 0.936, 0.750], [0.249, 0.751, 0.750], [0.433, 0.567, 0.750], [0.567, 0.433, 0.250], [0.751, 0.249, 0.250], [0.936, 0.064, 0.250], [0.341, 0.659, 0.250], [0.659, 0.341, 0.750], [0.155, 0.845, 0.250], [0.845, 0.155, 0.750]],
  "volume_a3_per_cell": 166,
  "total_magnetization_mub_per_fu": 0.00
}

## two
{
  "formula": "Mg3CuRh",
  "functional": "GGA-PBE",
  "state": "optimized geometry",
  "cell": [[4.870, 0.000, 0.000], [0.000, 4.870, 0.000], [0.000, 0.000, 4.870]],
  "species": ["Mg", "Mg", "Mg", "Cu", "Rh"],
  "frac_coords": [[0.000, 0.000, 0.500], [0.000, 0.500, 0.000], [0.500, 0.000, 0.000], [0.500, 0.500, 0.500], [0.000, 0.000, 0.000]],
  "volume_a3_per_cell": 115,
  "total_magnetization_mub_per_fu": 0.00
}

Pick one: it beats the second-best structure by 0.522 eV/atom.